# SrTl2V3F12 (PBE with a Hubbard U, optimized geometry)
data_SrTl2V3F12
_cell_length_a 7.382
_cell_length_b 7.382
_cell_length_c 7.382
_cell_angle_alpha 63.17
_cell_angle_beta 63.17
_cell_angle_gamma 63.17
_symmetry_space_group_name_H-M 'P 1'
_symmetry_Int_Tables_number 1
_symmetry_space_group_name_Hall 'P 1'
loop_
_atom_site_label
_atom_site_type_symbol
_atom_site_fract_x
_atom_site_fract_y
_atom_site_fract_z
_atom_site_occupancy
V1 V 0.500 0.000 0.000 1
F1 F 0.596 0.121 0.121 1
F2 F 0.721 0.093 0.721 1
V2 V 0.000 0.000 0.500 1
Sr1 Sr 0.000 0.000 0.000 1
F3 F 0.093 0.721 0.721 1
Tl1 Tl 0.627 0.627 0.627 1
F4 F 0.279 0.279 0.907 1
F5 F 0.121 0.596 0.121 1
F6 F 0.279 0.907 0.279 1
F7 F 0.907 0.279 0.279 1
F8 F 0.879 0.879 0.404 1
Tl2 Tl 0.373 0.373 0.373 1
F9 F 0.879 0.404 0.879 1
V3 V 0.000 0.500 0.000 1
F10 F 0.404 0.879 0.879 1
F11 F 0.721 0.721 0.093 1
F12 F 0.121 0.121 0.596 1
# symmetry: R-3m
# total magnetization: 0.389 μB per atom
# electronic total energy: -5.647 eV/atom
# density of states at the Fermi level: 5.1 states/eV/cell